{"formula": "CuAs2Pd8", "functional": "PBE", "state": "optimized geometry", "cell": [[-3.1828, -3.0938, 0.4703], [1.2710, -0.7504, -6.4923], [4.7151, -2.7243, 3.8308]], "species": ["Pd", "Pd", "Pd", "Pd", "Pd", "Pd", "Pd", "Pd", "Cu", "As", "As"], "fractional_positions": [[0.0937, 0.3187, 0.0713], [0.5000, 0.2342, 0.7658], [0.0937, 0.0713, 0.3187], [0.5000, 0.7658, 0.2342], [0.9063, 0.9287, 0.6813], [0.6708, 0.3706, 0.3706], [0.3292, 0.6294, 0.6294], [0.9063, 0.6813, 0.9287], [0.5000, 0.0000, 0.0000], [0.0000, 0.6778, 0.3222], [0.0000, 0.3222, 0.6778]], "formation_energy_ev_per_fu": -2.61, "m_tot_mub_per_fu": 0.0, "space_group": "No. 12", "dft_energy_ev_per_atom": -5.2312}